Record 1
Rb12Cd3O5 | Alexandria via LeMat-Bulk | GGA-PBE | optimized geometry; E_form (uncorrected) = -0.554 eV/atom; Fermi-level density of states = 36.4 states/eV/cell; total moment = 0.05 μB per atom; symmetry = Ia-3d
1.0
-9.3400 9.3400 9.3400
9.3400 -9.3400 9.3400
9.3400 9.3400 -9.3400
Rb Cd O
48 12 20
direct
0.0018 0.1863 0.1004 Rb
0.0018 0.3156 0.9015 Rb
0.0859 0.6863 0.6844 Rb
0.0859 0.8996 0.4015 Rb
0.0985 0.6004 0.4141 Rb
0.0985 0.9982 0.6844 Rb
0.1004 0.0018 0.1863 Rb
0.1004 0.5985 0.9141 Rb
0.1844 0.1863 0.5859 Rb
0.1844 0.4982 0.5985 Rb
0.1863 0.1004 0.0018 Rb
0.1863 0.5859 0.1844 Rb
0.3137 0.3156 0.9141 Rb
0.3137 0.4982 0.3996 Rb
0.3156 0.9015 0.0018 Rb
0.3156 0.9141 0.3137 Rb
0.3996 0.3137 0.4982 Rb
0.3996 0.5859 0.9015 Rb
0.4015 0.0859 0.8996 Rb
0.4015 0.8156 0.5018 Rb
0.4141 0.0985 0.6004 Rb
0.4141 0.8156 0.8137 Rb
0.4982 0.3996 0.3137 Rb
0.4982 0.5985 0.1844 Rb
0.5018 0.4015 0.8156 Rb
0.5018 0.6004 0.6863 Rb
0.5859 0.1844 0.1863 Rb
0.5859 0.9015 0.3996 Rb
0.5985 0.1844 0.4982 Rb
0.5985 0.9141 0.1004 Rb
0.6004 0.4141 0.0985 Rb
0.6004 0.6863 0.5018 Rb
0.6844 0.0859 0.6863 Rb
0.6844 0.0985 0.9982 Rb
0.6863 0.5018 0.6004 Rb
0.6863 0.6844 0.0859 Rb
0.8137 0.4141 0.8156 Rb
0.8137 0.8996 0.9982 Rb
0.8156 0.5018 0.4015 Rb
0.8156 0.8137 0.4141 Rb
0.8996 0.4015 0.0859 Rb
0.8996 0.9982 0.8137 Rb
0.9015 0.0018 0.3156 Rb
0.9015 0.3996 0.5859 Rb
0.9141 0.1004 0.5985 Rb
0.9141 0.3137 0.3156 Rb
0.9982 0.6844 0.0985 Rb
0.9982 0.8137 0.8996 Rb
0.1250 0.2500 0.3750 Cd
0.1250 0.3750 0.7500 Cd
0.2500 0.3750 0.1250 Cd
0.2500 0.8750 0.6250 Cd
0.3750 0.1250 0.2500 Cd
0.3750 0.7500 0.1250 Cd
0.6250 0.2500 0.8750 Cd
0.6250 0.8750 0.7500 Cd
0.7500 0.1250 0.3750 Cd
0.7500 0.6250 0.8750 Cd
0.8750 0.6250 0.2500 Cd
0.8750 0.7500 0.6250 Cd
0.0000 0.0000 0.0000 O
0.0000 0.0000 0.5000 O
0.0000 0.5000 0.0000 O
0.0000 0.5000 0.5000 O
0.1250 0.7500 0.8750 O
0.1250 0.8750 0.2500 O
0.2500 0.1250 0.8750 O
0.2500 0.6250 0.3750 O
0.3750 0.2500 0.6250 O
0.3750 0.6250 0.7500 O
0.5000 0.0000 0.0000 O
0.5000 0.0000 0.5000 O
0.5000 0.5000 0.0000 O
0.5000 0.5000 0.5000 O
0.6250 0.3750 0.2500 O
0.6250 0.7500 0.3750 O
0.7500 0.3750 0.6250 O
0.7500 0.8750 0.1250 O
0.8750 0.1250 0.7500 O
0.8750 0.2500 0.1250 O



Record 2
CuSeI3 | Alexandria via LeMat-Bulk | GGA-PBE | optimized geometry; E_form (uncorrected) = 0.546 eV/atom; Fermi-level density of states = 1.6 states/eV/cell; total moment = 0.00 μB per atom; relative energy among the computed polymorphs = 558 meV/atom; symmetry = Pm-3m
1.0
5.7338 0.0000 0.0000
0.0000 5.7338 0.0000
0.0000 0.0000 5.7338
Cu Se I
1 1 3
direct
0.0000 0.0000 0.0000 Cu
0.5000 0.5000 0.5000 Se
0.0000 0.5000 0.5000 I
0.5000 0.0000 0.5000 I
0.5000 0.5000 0.0000 I



Record 3
Th2AlSi4Rh3 | Alexandria via LeMat-Bulk | GGA-PBE | optimized geometry; E_form (uncorrected) = -0.971 eV/atom; Fermi-level density of states = 4.0 states/eV/cell; total moment = 0.00 μB per atom; symmetry = P-4m2
1.0
4.1635 0.0000 0.0000
0.0000 4.1635 0.0000
0.0000 0.0000 10.2056
Th Al Si Rh
2 1 4 3
direct
0.0000 0.5000 0.2418 Th
0.5000 0.0000 0.7582 Th
0.0000 0.0000 0.5000 Al
0.0000 0.0000 0.0000 Si
0.0000 0.5000 0.6423 Si
0.5000 0.0000 0.3577 Si
0.5000 0.5000 0.0000 Si
0.0000 0.5000 0.8784 Rh
0.5000 0.0000 0.1216 Rh
0.5000 0.5000 0.5000 Rh



Record 4
UI4 | Alexandria via LeMat-Bulk | GGA-PBE | optimized geometry; E_form (uncorrected) = -0.593 eV/atom; Fermi-level density of states = 17.8 states/eV/cell; total moment = 0.40 μB per atom; symmetry = P-42_1c
1.0
7.0277 0.0000 0.0000
0.0000 7.0277 0.0000
0.0000 0.0000 7.7169
U I
2 8
direct
0.0000 0.0000 0.0000 U
0.5000 0.5000 0.5000 U
0.1886 0.2567 0.3514 I
0.2433 0.3114 0.8514 I
0.2567 0.8114 0.6486 I
0.3114 0.7567 0.1486 I
0.6886 0.2433 0.1486 I
0.7433 0.1886 0.6486 I
0.7567 0.6886 0.8514 I
0.8114 0.7433 0.3514 I